This record from the Alexandria database describes CaPmAgRu after structural relaxation. The functional is GGA-PBE.

Properties
* calculated total energy: -76.99 eV/cell
* theoretical density: 7.20 g/cm3
* energy relative to the elements: -92 meV per atom

```
data_CaPmAgRu
_cell_length_a 7.135
_cell_length_b 7.135
_cell_length_c 7.135
_cell_angle_alpha 90.00
_cell_angle_beta 90.00
_cell_angle_gamma 90.00
_space_group_name_H-M_alt 'F -4 3 m'
_space_group_IT_number 216
_space_group_name_Hall 'F -4 2 3'
loop_
_atom_site_label
_atom_site_type_symbol
_atom_site_fract_x
_atom_site_fract_y
_atom_site_fract_z
Ca1 Ca 0.000 0.000 0.000
Pm1 Pm 0.000 0.000 0.500
Ag1 Ag 0.250 0.250 0.750
Ru1 Ru 0.250 0.250 0.250
```


This record from the Alexandria database describes Ca3Pm3AgS8 after structural relaxation. The functional is GGA-PBE.

Properties
* calculated total energy: -248.97 eV/cell
* formation energy without anion corrections: -1.791 eV per atom
* theoretical density: 4.13 g/cm3

```
data_Ca3Pm3AgS8
_cell_length_a 8.0501
_cell_length_b 8.0501
_cell_length_c 19.7477
_cell_angle_alpha 90.00
_cell_angle_beta 90.00
_cell_angle_gamma 120.00
_space_group_name_H-M_alt 'R -3 m'
_space_group_IT_number 166
_space_group_name_Hall '-R 3 2"'
loop_
_atom_site_label
_atom_site_type_symbol
_atom_site_fract_x
_atom_site_fract_y
_atom_site_fract_z
Ca1 Ca 0.0000 0.5000 0.0000
Pm1 Pm 0.0000 0.5000 0.5000
Ag1 Ag 0.0000 0.0000 0.5000
S1 S 0.0000 0.0000 0.2499
S2 S 0.0039 0.5020 0.7517
```